VASP calculation (GGA-PBE) on an optimized crystal structure of LaGaH2.

The relative energy among the computed polymorphs is 0.00 eV/f.u.

It has space group Cmcm (No. 63), with a = 4.248 Å, b = 12.466 Å, c = 4.268 Å, α = 90.00°, β = 90.00° and γ = 90.00°. The inequivalent atoms are La at (0.000, 0.150, 0.250), Ga at (0.000, 0.441, 0.250), H at (0.000, 0.052, 0.750) and H at (0.000, 0.249, 0.750).

VASP calculation (GGA-PBE) on an optimized crystal structure of Zn2GaAgAu5.

For the energy of formation, the calculation gives -115.6 meV/atom.

It has space group Cmc2_1 (No. 36), with a = 3.146 Å, b = 15.287 Å, c = 13.343 Å, α = 90.00°, β = 90.00° and γ = 90.00°. The inequivalent atoms are Zn at (0.000, 0.124, 0.000), Zn at (0.000, 0.138, 0.685), Ga at (0.000, 0.420, 0.793), Ag at (0.000, 0.229, 0.337), Au at (0.000, 0.052, 0.447), Au at (0.000, 0.303, 0.023), Au at (0.000, 0.310, 0.650), Au at (0.000, 0.411, 0.338) and Au at (0.000, 0.498, 0.123).

VASP calculation (GGA-PBE) on an optimized crystal structure of KInF2.

The relative energy among the computed polymorphs is 0.47 eV/f.u. The value obtained for the uncorrected formation energy is -2.000 eV per atom.

It has space group Fm-3m (No. 225), with a = 6.716 Å, b = 6.716 Å, c = 6.716 Å, α = 90.00°, β = 90.00° and γ = 90.00°. The inequivalent atoms are K at (0.000, 0.000, 0.000), In at (0.000, 0.000, 0.500) and F at (0.250, 0.250, 0.250).

| no. | total DFT energy (no corrections) (eV per atom) |
| --- | --- |
| 1 | -4.254 |
| 2 | -2.873 |
| 3 | -3.895 |